# MgCr2O4 (PBE with a Hubbard U, relaxed)
# crystal system	orthorhombic
# relative energy among the computed polymorphs	122	meV/atom
# D(E_F)	0.0000	states/eV/atom
data_MgCr2O4
_space_group_name_H-M_alt 'C m c m'
_space_group_IT_number 63
_space_group_name_Hall '-C 2c 2'
_cell_length_a 2.922
_cell_length_b 9.670
_cell_length_c 9.821
_cell_angle_alpha 90.00
_cell_angle_beta 90.00
_cell_angle_gamma 90.00
loop_
_atom_site_label
_atom_site_fract_x
_atom_site_fract_y
_atom_site_fract_z
Mg1 0.000 0.110 0.250
Cr1 0.000 0.367 0.072
O1 0.000 0.000 0.000
O2 0.000 0.270 0.614
O3 0.000 0.464 0.250